First-principles (PBE-GGA) data for an optimized crystal structure of ZrCu2Ir, as listed in Alexandria via LeMat-Bulk.

energy = -6.419 eV/atom
formation enthalpy at 0 K = -0.02 eV/atom
offset from the most stable computed form = 1.49 eV/f.u.
space-group type = I-42d
density of states at the Fermi level = 0.6140 states/eV per atom

a = 9.8173 Å, b = 9.8173 Å, c = 9.8173 Å
α = 157.95°, β = 157.95°, γ = 31.38°
Fractional positions:
1 Zr 0.0000 0.0000 0.0000
2 Zr 0.7500 0.2500 0.5000
3 Cu 0.1647 0.6250 0.0397
4 Cu 0.3750 0.4147 0.5397
5 Cu 0.5853 0.1250 0.9603
6 Cu 0.8750 0.8353 0.4603
7 Ir 0.2500 0.7500 0.5000
8 Ir 0.5000 0.5000 0.0000



First-principles (PBE-GGA) data for an optimized crystal structure of KNaMgH4, as listed in Alexandria via LeMat-Bulk.

energy = -2.714 eV/atom
space-group type = Cmcm
density of states at the Fermi level = 0.0000 states/eV per atom

a = 6.9717 Å, b = 6.9717 Å, c = 5.5143 Å
α = 90.00°, β = 90.00°, γ = 133.49°
Fractional positions:
1 K 0.1002 0.8998 0.7500
2 K 0.8998 0.1002 0.2500
3 Na 0.3935 0.6065 0.7500
4 Na 0.6065 0.3935 0.2500
5 Mg 0.2509 0.7491 0.2500
6 Mg 0.7491 0.2509 0.7500
7 H 0.0000 0.5000 0.0000
8 H 0.0000 0.5000 0.5000
9 H 0.0990 0.9010 0.2500
10 H 0.4119 0.5881 0.2500
11 H 0.5000 0.0000 0.0000
12 H 0.5000 0.0000 0.5000
13 H 0.5881 0.4119 0.7500
14 H 0.9010 0.0990 0.7500



First-principles (PBE-GGA) data for an optimized crystal structure of Ac4La3Sm, as listed in Alexandria via LeMat-Bulk.

energy = -4.469 eV/atom
formation enthalpy at 0 K = 0.02 eV/atom
offset from the most stable computed form = 0.00 eV/f.u.
space-group type = Pmmn
density of states at the Fermi level = 1.7755 states/eV per atom

a = 5.4736 Å, b = 10.9324 Å, c = 10.8111 Å
α = 90.00°, β = 90.00°, γ = 90.00°
Fractional positions:
1 Ac 0.2500 0.0007 0.1356
2 Ac 0.2500 0.2500 0.8655
3 Ac 0.2500 0.4993 0.1356
4 Ac 0.2500 0.7500 0.8648
5 Ac 0.7500 0.2500 0.1352
6 Ac 0.7500 0.5007 0.8644
7 Ac 0.7500 0.7500 0.1345
8 Ac 0.7500 0.9993 0.8644
9 La 0.2500 0.0004 0.6146
10 La 0.2500 0.4996 0.6146
11 La 0.2500 0.7500 0.3855
12 La 0.7500 0.9996 0.3854
13 La 0.7500 0.2500 0.6145
14 La 0.7500 0.5004 0.3854
15 Sm 0.2500 0.2500 0.3831
16 Sm 0.7500 0.7500 0.6169



First-principles (PBE-GGA) data for an optimized crystal structure of YMoPt, as listed in Alexandria via LeMat-Bulk.

energy = -7.845 eV/atom
formation enthalpy at 0 K = -0.07 eV/atom
offset from the most stable computed form = 0.32 eV/f.u.
space-group type = P-6m2
density of states at the Fermi level = 1.2835 states/eV per atom

a = 4.7019 Å, b = 4.7019 Å, c = 3.0539 Å
α = 90.00°, β = 90.00°, γ = 120.00°
Fractional positions:
1 Y 0.0000 0.0000 0.0000
2 Mo 0.6667 0.3333 0.5000
3 Pt 0.3333 0.6667 0.5000



First-principles (PBE-GGA) data for an optimized crystal structure of TaAl2Tl, as listed in Alexandria via LeMat-Bulk.

energy = -4.730 eV/atom
formation enthalpy at 0 K = 0.70 eV/atom
offset from the most stable computed form = 2.29 eV/f.u.
space-group type = F-43m
density of states at the Fermi level = 0.9018 states/eV per atom

a = 4.8068 Å, b = 4.8068 Å, c = 4.8068 Å
α = 60.00°, β = 60.00°, γ = 60.00°
Fractional positions:
1 Ta 0.0000 0.0000 0.0000
2 Al 0.5000 0.5000 0.5000
3 Al 0.7500 0.7500 0.7500
4 Tl 0.2500 0.2500 0.2500



First-principles (PBE-GGA) data for an optimized crystal structure of Sm5Er2Tl, as listed in Alexandria via LeMat-Bulk.

energy = -4.370 eV/atom
formation enthalpy at 0 K = 0.02 eV/atom
offset from the most stable computed form = 0.16 eV/f.u.
space-group type = I4/mcm
density of states at the Fermi level = 1.5428 states/eV per atom

a = 9.0833 Å, b = 9.0833 Å, c = 9.0833 Å
α = 123.15°, β = 123.15°, γ = 84.62°
Fractional positions:
1 Sm 0.0000 0.0000 0.0000
2 Sm 0.0114 0.5114 0.1933
3 Sm 0.1819 0.9886 0.5000
4 Sm 0.3181 0.8181 0.8067
5 Sm 0.4886 0.6819 0.5000
6 Sm 0.5000 0.5000 0.0000
7 Sm 0.5114 0.3181 0.5000
8 Sm 0.6819 0.1819 0.1933
9 Sm 0.8181 0.0114 0.5000
10 Sm 0.9886 0.4886 0.8067
11 Er 0.1407 0.3593 0.5000
12 Er 0.3593 0.8593 0.2186
13 Er 0.6407 0.1407 0.7814
14 Er 0.8593 0.6407 0.5000
15 Tl 0.2500 0.2500 0.0000
16 Tl 0.7500 0.7500 0.0000



First-principles (PBE-GGA) data for an optimized crystal structure of VZnBr3, as listed in Alexandria via LeMat-Bulk.

raw formation energy = 0.36 eV per formula unit
energy = -3.010 eV/atom
offset from the most stable computed form = 1.95 eV/f.u.
space-group type = Pm-3m
density of states at the Fermi level = 1.8706 states/eV per atom

a = 5.1536 Å, b = 5.1536 Å, c = 5.1536 Å
α = 90.00°, β = 90.00°, γ = 90.00°
Fractional positions:
1 V 0.0000 0.0000 0.0000
2 Zn 0.5000 0.5000 0.5000
3 Br 0.0000 0.5000 0.5000
4 Br 0.5000 0.0000 0.5000
5 Br 0.5000 0.5000 0.0000



First-principles (PBE-GGA) data for an optimized crystal structure of Tl2HgAu, as listed in Alexandria via LeMat-Bulk.

energy = -2.072 eV/atom
formation enthalpy at 0 K = 0.01 eV/atom
offset from the most stable computed form = 0.12 eV/f.u.
space-group type = Cm
density of states at the Fermi level = 0.4106 states/eV per atom

a = 4.7855 Å, b = 4.7855 Å, c = 6.4408 Å
α = 112.20°, β = 112.20°, γ = 59.92°
Fractional positions:
1 Tl 0.0000 0.0000 0.0000
2 Tl 0.2169 0.2169 0.6507
3 Hg 0.7936 0.7936 0.3798
4 Au 0.4018 0.4018 0.2054



First-principles (PBE-GGA) data for an optimized crystal structure of BaWN3, as listed in Alexandria via LeMat-Bulk.

raw formation energy = 15.56 eV per formula unit
energy = -4.858 eV/atom
space-group type = Pm-3m
density of states at the Fermi level = 0.5366 states/eV per atom

a = 4.4408 Å, b = 4.4408 Å, c = 4.4408 Å
α = 90.00°, β = 90.00°, γ = 90.00°
Fractional positions:
1 Ba 0.0000 0.0000 0.0000
2 W 0.5000 0.5000 0.5000
3 N 0.0000 0.0000 0.5000
4 N 0.0000 0.5000 0.0000
5 N 0.5000 0.0000 0.0000



First-principles (PBE-GGA) data for an optimized crystal structure of RbZr2SbO8, as listed in Alexandria via LeMat-Bulk.

raw formation energy = -25.32 eV per formula unit
energy = -7.265 eV/atom
space-group type = C2/m
density of states at the Fermi level = 0.0000 states/eV per atom

a = 4.8722 Å, b = 4.8722 Å, c = 7.5024 Å
α = 90.70°, β = 90.70°, γ = 88.84°
Fractional positions:
1 Rb 0.0000 0.0000 0.0000
2 Zr 0.4968 0.4968 0.7134
3 Zr 0.5032 0.5032 0.2866
4 Sb 0.0000 0.0000 0.5000
5 O 0.1962 0.7916 0.3097
6 O 0.2084 0.8038 0.6903
7 O 0.2993 0.2993 0.4979
8 O 0.3913 0.3913 0.9967
9 O 0.6087 0.6087 0.0033
10 O 0.7007 0.7007 0.5021
11 O 0.7916 0.1962 0.3097
12 O 0.8038 0.2084 0.6903



First-principles (PBE-GGA) data for an optimized crystal structure of Cs3Tb3YSe8, as listed in Alexandria via LeMat-Bulk.

raw formation energy = -25.10 eV per formula unit
energy = -5.060 eV/atom
space-group type = C2/m
density of states at the Fermi level = 0.6896 states/eV per atom

a = 8.4123 Å, b = 8.4123 Å, c = 9.8510 Å
α = 115.33°, β = 115.33°, γ = 59.98°
Fractional positions:
1 Cs 0.0000 0.0000 0.0000
2 Cs 0.0000 0.5000 0.0000
3 Cs 0.5000 0.0000 0.0000
4 Tb 0.0000 0.5000 0.5000
5 Tb 0.5000 0.0000 0.5000
6 Tb 0.5000 0.5000 0.5000
7 Y 0.0000 0.0000 0.5000
8 Se 0.2281 0.2281 0.6842
9 Se 0.2281 0.7283 0.6842
10 Se 0.2712 0.2712 0.3140
11 Se 0.2717 0.7719 0.3158
12 Se 0.7283 0.2281 0.6842
13 Se 0.7288 0.7288 0.6860
14 Se 0.7719 0.2717 0.3158
15 Se 0.7719 0.7719 0.3158



First-principles (PBE-GGA) data for an optimized crystal structure of In2AgSb, as listed in Alexandria via LeMat-Bulk.

raw formation energy = 0.24 eV per formula unit
energy = -3.054 eV/atom
space-group type = R3m
density of states at the Fermi level = 0.4279 states/eV per atom

a = 6.6103 Å, b = 6.6103 Å, c = 6.6103 Å
α = 39.97°, β = 39.97°, γ = 39.97°
Fractional positions:
1 In 0.0000 0.0000 0.0000
2 In 0.1910 0.1910 0.1910
3 Ag 0.5963 0.5963 0.5963
4 Sb 0.4323 0.4323 0.4323



Question: Which formula does entry 12 have?
Answer: In2AgSb



Question: density of states at the Fermi level of number 10 (RbZr2SbO8)?
Answer: 0.0000 states/eV per atom



Copy entry 9 word for word.
First-principles (PBE-GGA) data for an optimized crystal structure of BaWN3, as listed in Alexandria via LeMat-Bulk.

raw formation energy = 15.56 eV per formula unit
energy = -4.858 eV/atom
space-group type = Pm-3m
density of states at the Fermi level = 0.5366 states/eV per atom

a = 4.4408 Å, b = 4.4408 Å, c = 4.4408 Å
α = 90.00°, β = 90.00°, γ = 90.00°
Fractional positions:
1 Ba 0.0000 0.0000 0.0000
2 W 0.5000 0.5000 0.5000
3 N 0.0000 0.0000 0.5000
4 N 0.0000 0.5000 0.0000
5 N 0.5000 0.0000 0.0000



Question: density of states at the Fermi level of number 1 (ZrCu2Ir)?
Answer: 0.6140 states/eV per atom